Density functional theory data (PBE-GGA) for a geometry-optimized ScCoSiAg structure.

Summary:
**E above lowest polymorph**: 0.000 eV/atom
**Magnetic moment**: 0.0 μB/f.u.
**Crystal system**: cubic

a = 6.201 Å, b = 6.201 Å, c = 6.201 Å
α = 90.00°, β = 90.00°, γ = 90.00°
Space group F-43m (No. 216)
Symmetry-distinct sites (fractional):
Sc: 0.000 0.000 0.000 [4 per cell]
Co: 0.250 0.250 0.750 [4 per cell]
Si: 0.000 0.000 0.500 [4 per cell]
Ag: 0.250 0.250 0.250 [4 per cell]


Density functional theory data (PBE-GGA) for a geometry-optimized ScCoSiAg structure.

Summary:
**E above lowest polymorph**: 0.051 eV/atom
**Magnetic moment**: 0.0 μB/f.u.
**Crystal system**: cubic

a = 6.242 Å, b = 6.242 Å, c = 6.242 Å
α = 90.00°, β = 90.00°, γ = 90.00°
Space group F-43m (No. 216)
Symmetry-distinct sites (fractional):
Sc: 0.000 0.000 0.000 [4 per cell]
Co: 0.000 0.000 0.500 [4 per cell]
Si: 0.250 0.250 0.250 [4 per cell]
Ag: 0.250 0.250 0.750 [4 per cell]


Density functional theory data (PBE-GGA) for a geometry-optimized ScCoAgSn structure.

Summary:
**E above lowest polymorph**: 0.000 eV/atom
**Magnetic moment**: 0.1 μB/f.u.
**Crystal system**: cubic

a = 6.517 Å, b = 6.517 Å, c = 6.517 Å
α = 90.00°, β = 90.00°, γ = 90.00°
Space group F-43m (No. 216)
Symmetry-distinct sites (fractional):
Sc: 0.000 0.000 0.000 [4 per cell]
Co: 0.250 0.250 0.750 [4 per cell]
Ag: 0.250 0.250 0.250 [4 per cell]
Sn: 0.000 0.000 0.500 [4 per cell]


Density functional theory data (PBE-GGA) for a geometry-optimized ScCoAgSn structure.

Summary:
**E above lowest polymorph**: 0.100 eV/atom
**Magnetic moment**: 0.1 μB/f.u.
**Crystal system**: cubic

a = 6.536 Å, b = 6.536 Å, c = 6.536 Å
α = 90.00°, β = 90.00°, γ = 90.00°
Space group F-43m (No. 216)
Symmetry-distinct sites (fractional):
Sc: 0.000 0.000 0.000 [4 per cell]
Co: 0.000 0.000 0.500 [4 per cell]
Ag: 0.250 0.250 0.750 [4 per cell]
Sn: 0.250 0.250 0.250 [4 per cell]


Density functional theory data (PBE-GGA) for a geometry-optimized ScZnCoAg structure.

Summary:
**E above lowest polymorph**: 0.000 eV/atom
**Calculated formation energy**: -0.122 eV/atom
**Magnetic moment**: 0.6 μB/f.u.
**Crystal system**: cubic

a = 6.308 Å, b = 6.308 Å, c = 6.308 Å
α = 90.00°, β = 90.00°, γ = 90.00°
Space group F-43m (No. 216)
Symmetry-distinct sites (fractional):
Sc: 0.000 0.000 0.000 [4 per cell]
Zn: 0.000 0.000 0.500 [4 per cell]
Co: 0.250 0.250 0.750 [4 per cell]
Ag: 0.250 0.250 0.250 [4 per cell]


Density functional theory data (PBE-GGA) for a geometry-optimized ScZnCoAg structure.

Summary:
**E above lowest polymorph**: 0.135 eV/atom
**Calculated formation energy**: 0.012 eV/atom
**Magnetic moment**: 0.0 μB/f.u.
**Crystal system**: cubic

a = 6.359 Å, b = 6.359 Å, c = 6.359 Å
α = 90.00°, β = 90.00°, γ = 90.00°
Space group F-43m (No. 216)
Symmetry-distinct sites (fractional):
Sc: 0.000 0.000 0.000 [4 per cell]
Zn: 0.250 0.250 0.250 [4 per cell]
Co: 0.000 0.000 0.500 [4 per cell]
Ag: 0.250 0.250 0.750 [4 per cell]